1.
This record from the Alexandria database describes Np2AsS4 after structural relaxation. The functional is GGA-PBE.

ρ (g cm⁻³): 7.6
Calculated volume (Å³/cell): 149
Calculated total energy (eV/f.u.): -52.78
SG: No. 139
Crystal system: tetragonal

Structure (extended XYZ):
```
7
Lattice="-0.321 2.838 5.845 0.695 -5.804 2.857 3.302 1.896 -4.360" Properties=species:S:1:pos:R:3 pbc="T T T"
S 3.218 2.714 0.787
Np 2.092 -2.695 1.424
Np 1.584 1.626 2.918
S 0.088 -0.693 2.034
S 0.287 -2.272 6.667
S 3.759 -1.888 -0.805
As 0.187 -1.483 4.351
```

=====

2.
This record from the Alexandria database describes Np6AsSe3S2 after structural relaxation. The functional is GGA-PBE.

ρ (g cm⁻³): 10.6
Calculated volume (Å³/cell): 281
Calculated total energy (eV/f.u.): -114.19
SG: No. 12
Crystal system: monoclinic

Structure (extended XYZ):
```
12
Lattice="6.983 -0.003 -0.001 -3.493 6.047 -0.001 -1.166 -2.018 6.651" Properties=species:S:1:pos:R:3 pbc="T T T"
Se -2.370 4.053 3.324
Np -1.192 2.064 1.588
As 0.000 0.000 0.000
Np -0.058 4.026 5.060
S 3.499 2.009 -0.001
Se 4.695 -0.028 3.324
Np 2.298 3.978 1.569
Se 1.162 2.013 3.324
Np 0.027 0.047 5.080
Np 3.517 1.962 5.060
S -0.009 4.035 -0.001
Np 2.383 -0.001 1.588
```

=====

3.
This record from the Alexandria database describes NpTl2AsS5 after structural relaxation. The functional is GGA-PBE.

ρ (g cm⁻³): 5.7
Calculated volume (Å³/cell): 518
Calculated total energy (eV/f.u.): -47.90
SG: No. 36
Crystal system: orthorhombic

Structure (extended XYZ):
```
18
Lattice="4.142 0.000 0.000 -2.071 8.941 0.000 0.000 0.000 13.983" Properties=species:S:1:pos:R:3 pbc="T T T"
S 0.000 1.164 0.740
Tl 0.000 1.889 9.092
Tl 2.071 6.536 11.393
S 0.000 6.123 13.896
As 2.071 0.859 13.026
Np 2.071 5.244 7.471
S 0.000 4.979 9.111
Tl 2.071 7.052 2.100
S 2.071 2.818 6.905
As 0.000 8.082 6.034
Np 0.000 3.697 0.479
S 0.000 5.758 5.717
S 2.071 3.962 2.119
S 2.071 3.183 12.709
S 0.000 8.880 4.002
S 2.071 7.777 7.732
Tl 0.000 2.405 4.401
S 2.071 0.062 10.993
```

=====

4.
This record from the Alexandria database describes NpUAsS after structural relaxation. The functional is GGA-PBE.

ρ (g cm⁻³): 10.7
Calculated volume (Å³/cell): 90
Calculated total energy (eV/f.u.): -37.13
SG: No. 160
Crystal system: trigonal

Structure (extended XYZ):
```
4
Lattice="3.983 0.000 0.000 1.991 3.449 0.000 1.991 1.150 6.549" Properties=species:S:1:pos:R:3 pbc="T T T"
Np 5.974 3.449 0.098
As 5.974 3.449 4.913
S 1.991 1.150 1.624
U 3.983 2.299 3.189
```

=====

5.
This record from the Alexandria database describes NpUAsS2 after structural relaxation. The functional is GGA-PBE.

ρ (g cm⁻³): 10.0
Calculated volume (Å³/cell): 102
Calculated total energy (eV/f.u.): -41.34
SG: No. 107
Crystal system: tetragonal

Structure (extended XYZ):
```
5
Lattice="4.109 0.000 0.000 0.000 4.109 0.000 -2.055 -2.055 6.023" Properties=species:S:1:pos:R:3 pbc="T T T"
S 0.000 2.055 3.009
As 0.000 0.000 6.021
Np 2.055 2.055 4.804
S 2.055 0.000 3.009
U 0.000 0.000 1.226
```

=====

6.
This record from the Alexandria database describes ZrNpAsS2 after structural relaxation. The functional is GGA-PBE.

ρ (g cm⁻³): 7.1
Calculated volume (Å³/cell): 109
Calculated total energy (eV/f.u.): -38.36
SG: No. 107
Crystal system: tetragonal

Structure (extended XYZ):
```
5
Lattice="4.105 0.000 0.000 0.000 4.105 0.000 -2.053 -2.053 6.477" Properties=species:S:1:pos:R:3 pbc="T T T"
As 0.000 0.000 6.464
Zr 0.000 0.000 1.674
Np 2.053 2.053 4.956
S 2.053 0.000 3.169
S 0.000 2.053 3.169
```

=====

7.
This record from the Alexandria database describes Np2SbAs after structural relaxation. The functional is GGA-PBE.

ρ (g cm⁻³): 11.7
Calculated volume (Å³/cell): 95
Calculated total energy (eV/f.u.): -35.91
SG: No. 123
Crystal system: tetragonal

Structure (extended XYZ):
```
4
Lattice="-1.148 -2.833 0.368 4.747 -2.169 -1.891 1.999 -0.139 5.177" Properties=species:S:1:pos:R:3 pbc="T T T"
Sb -0.574 -1.416 0.184
Np 2.373 -1.085 -0.946
As 2.799 -2.571 1.826
Np 1.000 -0.069 2.588
```

=====

8.
This record from the Alexandria database describes Np2SbAs after structural relaxation. The functional is GGA-PBE.

ρ (g cm⁻³): 10.6
Calculated volume (Å³/cell): 105
Calculated total energy (eV/f.u.): -35.93
SG: No. 160
Crystal system: trigonal

Structure (extended XYZ):
```
4
Lattice="3.904 0.000 0.000 1.952 3.381 0.000 1.952 1.127 7.990" Properties=species:S:1:pos:R:3 pbc="T T T"
As 5.856 3.381 7.975
Np 1.952 1.127 1.793
Np 1.952 1.127 6.197
Sb 3.904 2.254 4.009
```

=====

9.
This record from the Alexandria database describes Np4SbAs3 after structural relaxation. The functional is GGA-PBE.

ρ (g cm⁻³): 10.3
Calculated volume (Å³/cell): 209
Calculated total energy (eV/f.u.): -73.90
SG: No. 221
Crystal system: cubic

Structure (extended XYZ):
```
8
Lattice="-4.410 2.811 -2.796 -3.950 -3.471 2.740 -0.337 3.900 4.454" Properties=species:S:1:pos:R:3 pbc="T T T"
Np -4.349 1.620 2.199
Np -0.169 1.950 2.227
As -4.180 -0.330 -0.028
Np -1.975 -1.736 1.370
Np -2.205 1.406 -1.398
As -2.144 0.215 3.597
As -2.373 3.356 0.829
Sb 0.000 0.000 0.000
```

=====

10.
This record from the Alexandria database describes Np2SbAs after structural relaxation. The functional is GGA-PBE.

ρ (g cm⁻³): 11.8
Calculated volume (Å³/cell): 95
Calculated total energy (eV/f.u.): -35.87
SG: No. 225
Crystal system: cubic

Structure (extended XYZ):
```
4
Lattice="-4.995 0.988 0.490 -3.137 -3.562 1.909 -2.041 0.616 4.650" Properties=species:S:1:pos:R:3 pbc="T T T"
Sb 0.000 0.000 0.000
Np -7.630 -1.468 5.288
As -5.087 -0.979 3.525
Np -2.543 -0.489 1.763
```

=====

11.
This record from the Alexandria database describes Np2SbAs after structural relaxation. The functional is GGA-PBE.

ρ (g cm⁻³): 11.9
Calculated volume (Å³/cell): 94
Calculated total energy (eV/f.u.): -36.11
SG: No. 123
Crystal system: tetragonal

Structure (extended XYZ):
```
4
Lattice="-3.481 -1.539 -0.823 0.838 0.135 -3.800 2.428 -5.668 0.334" Properties=species:S:1:pos:R:3 pbc="T T T"
Sb -0.107 -3.536 -2.145
Np 1.869 -4.362 0.257
As -1.321 -0.702 -2.311
Np 0.559 -1.306 0.077
```

=====

12.
This record from the Alexandria database describes Np2SbAs after structural relaxation. The functional is GGA-PBE.

ρ (g cm⁻³): 10.2
Calculated volume (Å³/cell): 109
Calculated total energy (eV/f.u.): -36.36
SG: No. 166
Crystal system: trigonal

Structure (extended XYZ):
```
4
Lattice="4.246 0.000 0.000 2.123 3.677 0.000 2.123 1.226 6.964" Properties=species:S:1:pos:R:3 pbc="T T T"
Np 6.369 3.677 5.373
As 0.000 0.000 0.000
Sb 4.246 2.452 3.482
Np 2.123 1.226 1.590
```